[1]
Here is crystalline Sm4AgPd3 at its relaxed geometry from the Alexandria database. Energies are from PBE.

```
Sm4AgPd3
1.0
3.8381 0.0000 0.0000
0.0000 4.7122 0.0000
0.0000 0.0000 10.8140
Sm Ag Pd
4 1 3
Direct
0.0000 0.0000 0.0000
0.0000 0.5000 0.2667
0.5000 0.0000 0.4838
0.5000 0.5000 0.7698
0.0000 0.0000 0.7100
0.0000 0.5000 0.5456
0.5000 0.0000 0.2151
0.5000 0.5000 0.0446
```

Summary:
Symmetry: Pmm2
Energy (eV/atom): -5.36
D(E_F) (states/eV/f.u.): 5.83


[2]
Here is crystalline Sm4AgPd at its relaxed geometry from the Alexandria database. Energies are from PBE.

```
Sm4AgPd
1.0
7.1285 0.0000 0.0000
0.0000 7.1287 0.0000
-0.0182 0.0000 7.1904
Sm Ag Pd
8 2 2
Direct
0.2495 0.2499 0.2397
0.2495 0.7501 0.2397
0.2505 0.2501 0.7603
0.2505 0.7499 0.7603
0.7495 0.2501 0.2397
0.7495 0.7499 0.2397
0.7505 0.2499 0.7603
0.7505 0.7501 0.7603
0.0000 0.0000 0.5000
0.5000 0.5000 0.5000
0.0000 0.5000 0.0000
0.5000 0.0000 0.0000
```

Summary:
Symmetry: C2/m
Energy relative to the lowest polymorph listed for this composition (meV per atom): 228.7
Energy (eV/atom): -4.64
D(E_F) (states/eV/f.u.): 11.24


[3]
Here is crystalline Sm6Ag2Pd at its relaxed geometry from the Alexandria database. Energies are from PBE.

```
Sm6Ag2Pd
1.0
6.3614 0.0000 0.0000
0.0000 8.0397 0.0000
-6.0794 0.0000 10.2637
Sm Ag Pd
12 4 2
Direct
0.0980 0.0429 0.2428
0.0980 0.4571 0.7428
0.1966 0.7047 0.0586
0.1966 0.7953 0.5586
0.3971 0.1618 0.0485
0.3971 0.3382 0.5485
0.6029 0.6618 0.4515
0.6029 0.8382 0.9515
0.8034 0.2047 0.4414
0.8034 0.2953 0.9414
0.9020 0.5429 0.2572
0.9020 0.9571 0.7572
0.3264 0.1092 0.7332
0.3264 0.3908 0.2332
0.6736 0.6092 0.7668
0.6736 0.8908 0.2668
0.5000 0.0000 0.5000
0.5000 0.5000 0.0000
```

Summary:
Symmetry: P2_1/c
Energy (eV/atom): -4.55
D(E_F) (states/eV/f.u.): 13.05